# 1
Material: CsTmVBr6
Method: DFT, PBE
State: optimized geometry

Output
uncorrected formation energy	-1515	meV per atom
size of the total moment	0.33	μB/atom
calculated volume	355	Å³ per cell

Cell: 7.0160 7.0160 8.3298 Å, 90.00 90.00 120.00°
Closest atoms and distances in Å follow each position.
Space group P312 (No. 149)
Asymmetric unit:
Cs 0.0000 0.0000 0.0000  6 Br 3.67
Tm 0.6667 0.3333 0.5000  6 Br 2.78
V 0.3333 0.6667 0.5000  6 Br 2.66
Br 0.0129 0.3745 0.6873  1 V 2.66, 1 Tm 2.78

---

# 2
Material: AlCu2PdS4
Method: DFT, PBE
State: optimized geometry

Output
uncorrected formation energy	-441	meV per atom
size of the total moment	0.00	μB/atom
calculated volume	303	Å³ per cell

Cell: 5.3710 5.3710 10.4869 Å, 90.00 90.00 90.00°
Closest atoms and distances in Å follow each position.
Space group I-42m (No. 121)
Asymmetric unit:
Al 0.0000 0.0000 0.0000  4 S 2.27
Cu 0.0000 0.5000 0.2500  4 S 2.29
Pd 0.0000 0.0000 0.5000  4 S 2.39
S 0.2410 0.2410 0.1286  1 Al 2.27, 2 Cu 2.29, 1 Pd 2.39

---

# 3
Material: Pr2Dy6Sc3
Method: DFT, PBE
State: optimized geometry

Output
size of the total moment	0.00	μB/atom
energy relative to the elements	0.1975	eV per atom
calculated volume	706	Å³ per cell

Cell: 6.0057 10.4134 11.4659 Å, 90.00 100.14 90.00°
Closest atoms and distances in Å follow each position.
Space group C2/m (No. 12)
Asymmetric unit:
Pr 0.0000 0.1668 0.0000  3 Pr 3.47, 6 Dy 3.57-3.58
Dy 0.2461 0.1667 0.7373  3 Sc 3.34-3.35, 6 Dy 3.47, 2 Pr 3.58
Dy 0.2464 0.5000 0.7379  3 Sc 3.34-3.35, 6 Dy 3.47, 2 Pr 3.57
Sc 0.0000 0.0000 0.5000  6 Dy 3.34-3.35, 6 Sc 3.46-3.49
Sc 0.0000 0.3347 0.5000  6 Dy 3.34-3.35, 6 Sc 3.44-3.49

---

# 4
Material: Pr2YTh
Method: DFT, PBE
State: optimized geometry

Output
size of the total moment	0.00	μB/atom
energy relative to the elements	0.0578	eV per atom
calculated volume	136	Å³ per cell
excess energy over the best structure of this formula in the dataset	24	meV per atom

Cell: 5.1486 5.1486 5.1420 Å, 90.00 90.00 90.00°
Closest atoms and distances in Å follow each position.
Space group P4/mmm (No. 123)
Asymmetric unit:
Pr 0.0000 0.5000 0.0000  4 Th 3.64, 4 Y 3.64, 4 Pr 3.64
Y 0.0000 0.0000 0.5000  8 Pr 3.64, 4 Th 3.64
Th 0.5000 0.5000 0.5000  8 Pr 3.64, 4 Y 3.64

---

# 5
Material: TiNb3Mo
Method: DFT, PBE
State: optimized geometry

Output
size of the total moment	0.00	μB/atom
energy relative to the elements	1.1402	eV per atom
calculated volume	459	Å³ per cell
excess energy over the best structure of this formula in the dataset	1191	meV per atom

Cell: 5.0524 5.0524 17.9866 Å, 90.00 90.00 90.00°
Closest atoms and distances in Å follow each position.
Space group I-4m2 (No. 119)
Asymmetric unit:
Ti 0.0000 0.0000 0.2053  2 Mo 2.65
Nb 0.0000 0.2472 0.6257  2 Nb 2.50-2.55, 2 Mo 2.58
Nb 0.0000 0.5000 0.0736  2 Mo 2.85, 4 Nb 2.97
Mo 0.0000 0.0000 0.5000  8 Nb 2.58-2.85
Mo 0.0000 0.5000 0.7500  4 Nb 2.58, 4 Ti 2.65

---

# 6
Material: Th3SnOs2
Method: DFT, PBE
State: optimized geometry

Output
size of the total moment	0.00	μB/atom
energy relative to the elements	-0.2642	eV per atom
calculated volume	624	Å³ per cell

Cell: 16.2053 4.5838 8.7990 Å, 90.00 107.17 90.00°
Closest atoms and distances in Å follow each position.
Space group C2/m (No. 12)
Asymmetric unit:
Th 0.0767 0.0000 0.2067  2 Os 2.72-2.84
Th 0.1045 0.5000 0.8744  5 Os 2.96-3.03
Th 0.2381 0.0000 0.7084  3 Os 2.83-2.99
Sn 0.0929 0.5000 0.4765  2 Os 2.88, 1 Sn 3.16
Os 0.0563 0.0000 0.6439  1 Os 2.65, 2 Th 2.83-2.84, 2 Sn 2.88
Os 0.2058 0.0000 0.0666  6 Th 2.72-3.03

---

# 7
Material: SmGdAlAu
Method: DFT, PBE
State: optimized geometry

Output
size of the total moment	1.92	μB/atom
energy relative to the elements	-0.5360	eV per atom
calculated volume	398	Å³ per cell

Cell: 7.3575 7.3575 7.3575 Å, 90.00 90.00 90.00°
Closest atoms and distances in Å follow each position.
Space group F-43m (No. 216)
Asymmetric unit:
Sm 0.0000 0.0000 0.0000  4 Al 3.19, 4 Au 3.19
Gd 0.0000 0.0000 0.5000  4 Au 3.19, 4 Al 3.19
Al 0.2500 0.2500 0.7500  4 Gd 3.19, 4 Sm 3.19
Au 0.2500 0.2500 0.2500  4 Gd 3.19, 4 Sm 3.19

---

# 8
Material: PmPr5Nd2Er
Method: DFT, PBE
State: optimized geometry

Output
size of the total moment	0.00	μB/atom
energy relative to the elements	0.2736	eV per atom
calculated volume	1285	Å³ per cell

Cell: 8.8511 8.8511 16.4020 Å, 90.00 90.00 90.00°
Closest atoms and distances in Å follow each position.
Space group I4/mcm (No. 140)
Asymmetric unit:
Pm 0.0000 0.0000 0.2500  8 Pr 3.63
Pr 0.0000 0.0000 0.0000  4 Nd 3.53, 8 Pr 3.92
Pr 0.2134 0.2866 0.1414  1 Nd 3.13, 1 Er 3.21
Nd 0.1187 0.3813 0.5000  1 Nd 2.97, 2 Pr 3.13
Er 0.0000 0.5000 0.2500  4 Pr 3.21